# LiTbThTl | Alexandria | GGA-PBE | relaxed
data_LiTbThTl
_chemical_formula_sum 'Li4 Tb4 Th4 Tl4'
_symmetry_space_group_name_H-M 'F -4 3 m'
_symmetry_Int_Tables_number 216
_symmetry_space_group_name_Hall 'F -4 2 3'
_cell_length_a 7.587
_cell_length_b 7.587
_cell_length_c 7.587
_cell_angle_alpha 90.00
_cell_angle_beta 90.00
_cell_angle_gamma 90.00
loop_
_atom_site_label
_atom_site_fract_x
_atom_site_fract_y
_atom_site_fract_z
Li1 0.000 0.000 0.000
Tb1 0.250 0.250 0.250
Th1 0.250 0.250 0.750
Tl1 0.000 0.000 0.500
# Formation energy from the elements ... -36 meV/atom
# Crystal system ... cubic
# E_tot ... -0.1513 Ha/atom
# V ... 109 Å³/f.u.

# LiTbThW | Alexandria | GGA-PBE | relaxed
data_LiTbThW
_chemical_formula_sum 'Li4 Tb4 Th4 W4'
_symmetry_space_group_name_H-M 'F -4 3 m'
_symmetry_Int_Tables_number 216
_symmetry_space_group_name_Hall 'F -4 2 3'
_cell_length_a 7.135
_cell_length_b 7.135
_cell_length_c 7.135
_cell_angle_alpha 90.00
_cell_angle_beta 90.00
_cell_angle_gamma 90.00
loop_
_atom_site_label
_atom_site_fract_x
_atom_site_fract_y
_atom_site_fract_z
Li1 0.000 0.000 0.000
Tb1 0.250 0.250 0.750
Th1 0.250 0.250 0.250
W1 0.000 0.000 0.500
# Formation energy from the elements ... 239 meV/atom
# Crystal system ... cubic
# E_tot ... -0.2385 Ha/atom
# V ... 91 Å³/f.u.

# LiTbTi | Alexandria | GGA-PBE | relaxed
data_LiTbTi
_chemical_formula_sum 'Li2 Tb2 Ti2'
_symmetry_space_group_name_H-M 'P 4/n m m'
_symmetry_Int_Tables_number 129
_cell_length_a 3.579
_cell_length_b 3.579
_cell_length_c 10.777
_cell_angle_alpha 90.00
_cell_angle_beta 90.00
_cell_angle_gamma 90.00
loop_
_symmetry_equiv_pos_as_xyz
'x,y,z'
'-x,-y,-z'
'-y+1/2,x,z'
'y+1/2,-x,-z'
'-x+1/2,-y+1/2,z'
'x+1/2,y+1/2,-z'
'y,-x+1/2,z'
'-y,x+1/2,-z'
'x+1/2,-y,-z'
'-x+1/2,y,z'
'-y,-x,-z'
'y,x,z'
'-x,y+1/2,-z'
'x,-y+1/2,z'
'y+1/2,x+1/2,-z'
'-y+1/2,-x+1/2,z'
loop_
_atom_site_label
_atom_site_fract_x
_atom_site_fract_y
_atom_site_fract_z
Li1 0.250 0.250 0.066
Tb1 0.250 0.250 0.732
Ti1 0.250 0.250 0.449
# Formation energy from the elements ... 99 meV/atom
# Crystal system ... tetragonal
# E_tot ... -0.1732 Ha/atom
# V ... 69 Å³/f.u.

# Li3TbTl2 | Alexandria | GGA-PBE | relaxed
data_Li3TbTl2
_chemical_formula_sum 'Li12 Tb4 Tl8'
_symmetry_space_group_name_H-M 'C 1 2/m 1'
_symmetry_Int_Tables_number 12
_symmetry_space_group_name_Hall '-C 2y'
_cell_length_a 14.469
_cell_length_b 4.603
_cell_length_c 9.187
_cell_angle_alpha 90.00
_cell_angle_beta 120.60
_cell_angle_gamma 90.00
loop_
_atom_site_label
_atom_site_fract_x
_atom_site_fract_y
_atom_site_fract_z
Li1 0.052 0.000 0.393
Li2 0.092 0.500 0.685
Li3 0.241 0.500 0.571
Tb1 0.134 0.000 0.006
Tl1 0.059 0.500 0.207
Tl2 0.211 0.000 0.741
# Formation energy from the elements ... -246 meV/atom
# Crystal system ... monoclinic
# E_tot ... -0.1016 Ha/atom
# V ... 132 Å³/f.u.

# LiTb4Tl2 | Alexandria | GGA-PBE | relaxed
data_LiTb4Tl2
_chemical_formula_sum 'Li3 Tb12 Tl6'
_symmetry_space_group_name_H-M 'R -3 m'
_symmetry_Int_Tables_number 166
_symmetry_space_group_name_Hall '-R 3 2"'
_cell_length_a 5.3076
_cell_length_b 5.3076
_cell_length_c 25.9651
_cell_angle_alpha 90.00
_cell_angle_beta 90.00
_cell_angle_gamma 120.00
loop_
_atom_site_label
_atom_site_fract_x
_atom_site_fract_y
_atom_site_fract_z
Li1 0.0000 0.0000 0.0000
Tb1 0.0000 0.0000 0.2192
Tb2 0.0000 0.0000 0.3705
Tl1 0.0000 0.0000 0.0971
# Formation energy from the elements ... -27 meV/atom
# Relative energy among the computed polymorphs ... 0.117 eV/atom
# Crystal system ... trigonal
# E_tot ... -0.1331 Ha/atom
# V ... 211 Å³/f.u.

# LiTb3Tl | Alexandria | GGA-PBE | relaxed
data_LiTb3Tl
_chemical_formula_sum 'Li4 Tb12 Tl4'
_symmetry_space_group_name_H-M 'C m c m'
_symmetry_Int_Tables_number 63
_symmetry_space_group_name_Hall '-C 2c 2'
_cell_length_a 4.907
_cell_length_b 17.470
_cell_length_c 6.693
_cell_angle_alpha 90.00
_cell_angle_beta 90.00
_cell_angle_gamma 90.00
loop_
_atom_site_label
_atom_site_fract_x
_atom_site_fract_y
_atom_site_fract_z
Li1 0.000 0.005 0.250
Tb1 0.000 0.215 0.250
Tb2 0.000 0.399 0.003
Tl1 0.000 0.176 0.750
# Formation energy from the elements ... -64 meV/atom
# Relative energy among the computed polymorphs ... 0.075 eV/atom
# Crystal system ... orthorhombic
# E_tot ... -0.1359 Ha/atom
# V ... 143 Å³/f.u.